DFT (GGA-PBE) results for a relaxed Cu2Br2Cl crystal.

Cell: 7.064 7.064 7.720 Å, 117.23 117.23 90.00°
Element x y z (fractional)
Br 0.380 0.127 0.760
Br 0.383 0.630 0.260
Br 0.877 0.630 0.260
Br 0.380 0.633 0.760
Cu 0.174 0.441 0.347
Cu 0.191 0.424 0.847
Cu 0.656 0.424 0.847
Cu 0.174 0.906 0.347
Cl 0.073 0.073 0.147
Cl 0.823 0.323 0.647

- Formation energy from raw total energies: -0.369 eV/atom
- Fermi-level density of states: 11.608 states/eV/cell
- Distance to the lowest polymorph of the same formula: 0.000 eV/atom

---

DFT (GGA-PBE) results for a relaxed Cu4I2BrCl crystal.

Cell: 5.869 5.869 7.088 Å, 114.46 114.45 90.02°
Element x y z (fractional)
I 0.250 0.750 0.500
I 0.750 0.250 0.500
Cu 0.626 0.626 0.770
Cu 0.856 0.374 0.230
Cu 0.374 0.856 0.230
Cu 0.144 0.144 0.770
Cl 0.500 0.500 0.000
Br 0.000 0.000 0.000

- Formation energy from raw total energies: -0.208 eV/atom

---

DFT (GGA-PBE) results for a relaxed CuIr2BrCl crystal.

Cell: 4.260 6.981 4.260 Å, 90.00 90.00 90.00°
Last column: magnetic moment on the atom in μB.
Element x y z (fractional)
Ir 0.500 0.000 0.000  0.20
Ir 0.000 0.000 0.500  0.15
Cl 0.000 0.000 0.000  0.02
Br 0.000 0.500 0.000  -0.01
Cu 0.500 0.500 0.500  -0.04

- Formation energy from raw total energies: 1.459 eV/atom
- Fermi-level density of states: 5.386 states/eV/cell

---

DFT (GGA-PBE) results for a relaxed K3Cu2BrCl9 crystal.

Cell: 7.087 7.087 8.841 Å, 90.00 90.00 120.00°
Element x y z (fractional)
K 0.333 0.667 0.683
K 0.667 0.333 0.317
K 0.000 0.000 0.000
Cl 0.358 0.179 0.688
Cl 0.821 0.642 0.688
Cl 0.821 0.179 0.688
Cl 0.500 0.000 0.000
Cl 0.500 0.500 0.000
Cl 0.179 0.358 0.312
Cl 0.642 0.821 0.312
Cl 0.000 0.500 0.000
Cl 0.179 0.821 0.312
Br 0.000 0.000 0.500
Cu 0.333 0.667 0.157
Cu 0.667 0.333 0.843

- Formation energy from raw total energies: -0.927 eV/atom
- Fermi-level density of states: 5.360 states/eV/cell